(1)
# Eu2TlF PBE optimized geometry
data_Eu2TlF
_chemical_formula_sum 'Eu6 Tl3 F3'
_symmetry_space_group_name_H-M 'R -3 m'
_symmetry_Int_Tables_number 166
_symmetry_space_group_name_Hall '-R 3 2"'
_cell_length_a 3.9745
_cell_length_b 3.9745
_cell_length_c 23.6961
_cell_angle_alpha 90.00
_cell_angle_beta 90.00
_cell_angle_gamma 120.00
loop_
_atom_site_label
_atom_site_fract_x
_atom_site_fract_y
_atom_site_fract_z
Eu1 0.0000 0.0000 0.2303
Tl1 0.0000 0.0000 0.0000
F1 0.0000 0.0000 0.5000
# polymorph energy (0 for the lowest one): 0.0 meV per atom
# ρ: 8.10 g/cm³

=====

(2)
# EuCdAgSb PBE optimized geometry
data_EuCdAgSb
_chemical_formula_sum 'Eu4 Cd4 Ag4 Sb4'
_symmetry_space_group_name_H-M 'F -4 3 m'
_symmetry_Int_Tables_number 216
_symmetry_space_group_name_Hall 'F -4 2 3'
_cell_length_a 7.4175
_cell_length_b 7.4175
_cell_length_c 7.4175
_cell_angle_alpha 90.00
_cell_angle_beta 90.00
_cell_angle_gamma 90.00
loop_
_atom_site_label
_atom_site_fract_x
_atom_site_fract_y
_atom_site_fract_z
Eu1 0.0000 0.0000 0.0000
Cd1 0.2500 0.2500 0.7500
Ag1 0.0000 0.0000 0.5000
Sb1 0.2500 0.2500 0.2500
# ρ: 8.04 g/cm³

=====

Which energy belongs to each record? In order, -7.60, -4.90 eV/atom.